(1)
Entry from Alexandria via LeMat-Bulk: a relaxed AcTmMgIr crystal (PBE).

a b c (Å): 5.231 5.231 5.231
angles (deg): 60.00 60.00 60.00
Atoms (fractional coordinates):
Ac  0.000  0.000  0.000
Tm  0.500  0.500  0.500
Mg  0.250  0.250  0.250
Ir  0.750  0.750  0.750

Calculated values
For the formation energy, the calculation gives -267 meV per atom. Its uncorrected energy is -5.026 eV/atom.

(2)
Entry from Alexandria via LeMat-Bulk: a relaxed In2Ga4Sn5 crystal (PBE).

a b c (Å): 6.929 6.929 9.070
angles (deg): 121.98 121.98 53.87
Atoms (fractional coordinates):
In  0.216  0.216  0.271
In  0.784  0.784  0.729
Ga  0.235  0.235  0.644
Ga  0.242  0.242  0.973
Ga  0.758  0.758  0.027
Ga  0.765  0.765  0.356
Sn  0.249  0.741  0.676
Sn  0.259  0.751  0.324
Sn  0.500  0.500  0.000
Sn  0.741  0.249  0.676
Sn  0.751  0.259  0.324

Calculated values
For the formation energy, the calculation gives 87 meV per atom. Its uncorrected energy is -3.331 eV/atom. Its distance to the lowest polymorph of the same formula is 0.005 eV/atom.

(3)
Entry from Alexandria via LeMat-Bulk: a relaxed CuINO2 crystal (PBE).

a b c (Å): 3.844 3.844 4.325
angles (deg): 90.00 90.00 90.00
Atoms (fractional coordinates):
Cu  0.000  0.000  0.000
I  0.500  0.500  0.000
N  0.500  0.500  0.500
O  0.000  0.500  0.500
O  0.500  0.000  0.500

Calculated values
Its uncorrected energy is -3.400 eV/atom. The formation energy (no corrections) comes out at 1378 meV/atom.